Entry 1:
Density functional theory data (PBE-GGA) for an optimized crystal structure of CuRuRh4.

It has space group Pmmm (No. 47), with a = 2.7092 Å, b = 3.8185 Å, c = 8.0658 Å, α = 90.00°, β = 90.00° and γ = 90.00°. The distinct sites, in fractional coordinates, are Cu at (0.0000, 0.0000, 0.0000), Ru at (0.5000, 0.5000, 0.5000), Rh at (0.0000, 0.0000, 0.3336) and Rh at (0.5000, 0.5000, 0.1632).

Its offset from the most stable computed form is 0 meV/atom. The calculation puts the energy relative to the elements at 0.070 eV per atom.

=====

Entry 2:
Density functional theory data (PBE-GGA) for an optimized crystal structure of LiMoAs.

It has space group F-43m (No. 216), with a = 5.8603 Å, b = 5.8603 Å, c = 5.8603 Å, α = 90.00°, β = 90.00° and γ = 90.00°. The distinct sites, in fractional coordinates, are Li at (0.0000, 0.0000, 0.0000), Mo at (0.0000, 0.0000, 0.5000) and As at (0.2500, 0.2500, 0.2500).

Its offset from the most stable computed form is 447 meV/atom. The calculation puts the energy relative to the elements at 0.038 eV per atom.

=====

Entry 3:
Density functional theory data (PBE-GGA) for an optimized crystal structure of PdSeBr2O.

It has space group P4/mmm (No. 123), with a = 5.1097 Å, b = 5.1097 Å, c = 4.8308 Å, α = 90.00°, β = 90.00° and γ = 90.00°. The distinct sites, in fractional coordinates, are Pd at (0.0000, 0.0000, 0.0000), Se at (0.0000, 0.0000, 0.5000), Br at (0.0000, 0.5000, 0.0000) and O at (0.5000, 0.5000, 0.5000).

The value obtained for the uncorrected formation energy is 880.6 meV per atom. Its offset from the most stable computed form is 172 meV/atom.

=====

Entry 4:
Density functional theory data (PBE-GGA) for an optimized crystal structure of K4Dy3TiO8.

It has space group R-3m (No. 166, hexagonal axes), with a = 6.8161 Å, b = 6.8161 Å, c = 18.6352 Å, α = 90.00°, β = 90.00° and γ = 120.00°. The distinct sites, in fractional coordinates, are K at (0.0000, 0.0000, 0.0000), K at (0.0000, 0.5000, 0.0000), Dy at (0.0000, 0.5000, 0.5000), Ti at (0.0000, 0.0000, 0.5000), O at (0.0000, 0.0000, 0.2296) and O at (0.0167, 0.5084, 0.2266).

The value obtained for the uncorrected formation energy is -2605.4 meV per atom.

=====

Entry 5:
Density functional theory data (PBE-GGA) for an optimized crystal structure of Mg2Cd4Sn.

It has space group I4/mmm (No. 139), with a = 4.0526 Å, b = 4.0526 Å, c = 20.8964 Å, α = 90.00°, β = 90.00° and γ = 90.00°. The distinct sites, in fractional coordinates, are Mg at (0.0000, 0.0000, 0.0793), Cd at (0.0000, 0.0000, 0.3575), Cd at (0.0000, 0.5000, 0.2500) and Sn at (0.0000, 0.0000, 0.5000).

Its offset from the most stable computed form is 41 meV/atom. The calculation puts the energy relative to the elements at 0.047 eV per atom.

=====

Entry 6:
Density functional theory data (PBE-GGA) for an optimized crystal structure of Cs3BiMo.

It has space group Pm-3m (No. 221), with a = 6.4108 Å, b = 6.4108 Å, c = 6.4108 Å, α = 90.00°, β = 90.00° and γ = 90.00°. The distinct sites, in fractional coordinates, are Cs at (0.0000, 0.0000, 0.5000), Bi at (0.5000, 0.5000, 0.5000) and Mo at (0.0000, 0.0000, 0.0000).

The calculation puts the energy relative to the elements at 1.180 eV per atom.